The following is a DFT calculation (GGA+U) of an optimized crystal structure of Rb2YFeO.

Uncorrected energy: -2.543 eV per atom
Theoretical density: 2.0 g cm⁻³
Symmetry: P4/mmm

a b c (Å): 7.321 5.227 7.321
angles (deg): 90.00 90.00 90.00
Each line ends with the local moment (μB).
Positions (direct):
Y (0.000, 0.000, 0.000)  -0.78
Fe (0.000, 0.500, 0.000)  3.08
Rb (0.000, 0.000, 0.500)  -0.03
O (0.500, 0.500, 0.500)  0.08
Rb (0.500, 0.000, 0.000)  -0.03